Computed, not measured: an optimized crystal structure of Li4MgRh at the PBE-GGA level of DFT.

Cell and atoms, written as CIF:
```
data_Li4MgRh
_chemical_formula_sum 'Li8 Mg2 Rh2'
_cell_length_a 6.251
_cell_length_b 6.251
_cell_length_c 8.523
_cell_angle_alpha 116.83
_cell_angle_beta 116.83
_cell_angle_gamma 41.09
_space_group_name_H-M_alt 'P 1'
_space_group_IT_number 1
_space_group_name_Hall 'P 1'
loop_
_atom_site_label
_atom_site_fract_x
_atom_site_fract_y
_atom_site_fract_z
_atom_site_occupancy
Li1 0.668 0.168 0.983 1
Li2 0.332 0.832 0.017 1
Li3 0.112 0.612 0.753 1
Li4 0.888 0.388 0.247 1
Li5 0.168 0.668 0.483 1
Li6 0.832 0.332 0.517 1
Li7 0.612 0.112 0.253 1
Li8 0.388 0.888 0.747 1
Mg1 0.500 0.000 0.500 1
Mg2 0.000 0.500 0.000 1
Rh1 0.750 0.250 0.750 1
Rh2 0.250 0.750 0.250 1
```

Properties
Space-group type ... C2/m (12)
Formation energy ... -11.8 kJ per mole of atoms
ΔE to the lowest computed polymorph ... 0.08 eV/f.u.
E_tot ... -2.889 eV/atom